A) # BaNa2SrLi PBE optimized geometry
# Space-group type: P4/mmm, No. 123
# N(E_F), states/eV/cell: 4.2
data_BaNa2SrLi
_chemical_formula_sum 'Ba1 Na2 Sr1 Li1'
_symmetry_space_group_name_H-M 'P 1'
_symmetry_Int_Tables_number 1
_cell_length_a 5.990
_cell_length_b 5.990
_cell_length_c 6.530
_cell_angle_alpha 90.00
_cell_angle_beta 90.00
_cell_angle_gamma 90.00
loop_
_symmetry_equiv_pos_as_xyz
'x,y,z'
loop_
_atom_site_label
_atom_site_type_symbol
_atom_site_fract_x
_atom_site_fract_y
_atom_site_fract_z
_atom_site_occupancy
Ba1 Ba 0.000 0.000 0.500 1
Sr1 Sr 0.500 0.500 0.500 1
Li1 Li 0.000 0.000 0.000 1
Na1 Na 0.000 0.500 0.000 1
Na2 Na 0.500 0.000 0.000 1



B) # BaNa2SrLi PBE optimized geometry
# Space-group type: P4/mmm, No. 123
# N(E_F), states/eV/cell: 5.2
data_BaNa2SrLi
_chemical_formula_sum 'Ba1 Na2 Sr1 Li1'
_symmetry_space_group_name_H-M 'P 1'
_symmetry_Int_Tables_number 1
_cell_length_a 5.972
_cell_length_b 5.972
_cell_length_c 6.402
_cell_angle_alpha 90.00
_cell_angle_beta 90.00
_cell_angle_gamma 90.00
loop_
_symmetry_equiv_pos_as_xyz
'x,y,z'
loop_
_atom_site_label
_atom_site_type_symbol
_atom_site_fract_x
_atom_site_fract_y
_atom_site_fract_z
_atom_site_occupancy
Na1 Na 0.000 0.500 0.000 1
Sr1 Sr 0.000 0.000 0.500 1
Ba1 Ba 0.500 0.500 0.500 1
Na2 Na 0.500 0.000 0.000 1
Li1 Li 0.000 0.000 0.000 1



Stability ranking, top and bottom: B) is the most stable and A) is the least stable.